(1)
A plane-wave DFT calculation with PBE-GGA was carried out for a relaxed structure of GaPd8Pt6.

## Properties
polymorph energy (0 for the lowest one)	0	meV/atom
D(E_F)	27.39	states/eV/f.u.
DFT formation energy	-0.007	eV/atom

a b c (Å): 6.6850 6.6850 18.6831
angles (deg): 90.00 90.00 120.00
With the nearest neighbours (Å) after each atom.
Space group R-3 (No. 148, hexagonal axes)
Unique sites:
Ga 0.0000 0.0000 0.0000 x3  6 Pt 2.56
Pd 0.0000 0.0000 0.1726 x6  6 Pd 2.69-2.94, 3 Pt 2.77
Pd 0.0420 0.2639 0.5582 x18  6 Pd 2.69-2.94, 4 Pt 2.71-2.79
Pt 0.0369 0.2587 0.7072 x18  1 Ga 2.56, 5 Pd 2.71-2.79, 3 Pt 2.81

***

(2)
A plane-wave DFT calculation with PBE-GGA was carried out for a relaxed structure of CaLaIn.

## Properties
polymorph energy (0 for the lowest one)	137	meV/atom
D(E_F)	3.55	states/eV/f.u.
DFT formation energy	-0.308	eV/atom

a b c (Å): 12.3195 3.8068 8.7940
angles (deg): 90.00 108.39 90.00
With the nearest neighbours (Å) after each atom.
Space group C2/m (No. 12)
Unique sites:
Ca 0.1547 0.0000 0.1022 x4  5 In 3.35-3.67, 1 Ca 3.67
La 0.1336 0.0000 0.5372 x4  1 La 3.15, 4 In 3.39-3.46
In 0.0314 0.5000 0.7801 x4  5 Ca 3.35-3.67, 4 La 3.39-3.46

***

(3)
A plane-wave DFT calculation with PBE-GGA was carried out for a relaxed structure of AcAg2BO4.

## Properties
E_form (uncorrected)	-1.727	eV per atom
D(E_F)	0.15	states/eV/f.u.

a b c (Å): 5.8426 5.8426 6.2330
angles (deg): 90.00 90.00 90.00
With the nearest neighbours (Å) after each atom.
Space group I-42m (No. 121)
Unique sites:
Ac 0.0000 0.0000 0.0000 x2  4 O 2.58
Ag 0.0000 0.5000 0.2500 x4  4 O 2.33
B 0.0000 0.0000 0.5000 x2  4 O 1.51
O 0.1503 0.1503 0.6379 x8  1 B 1.51

***

D(E_F) of number 2 (CaLaIn)?
3.55 states/eV/f.u.

***

Number 1 is which compound?
GaPd8Pt6